First-principles (PBE) data for a relaxed structure of TlCdSe2, as listed in OQMD via LeMat-Bulk.

## Properties
total DFT energy (no corrections): -11.6 eV per formula unit
volume: 25.86 A^3/atom
calculated density: 7.62 g cm⁻³

extended XYZ file:
```
4
Lattice="4.081 0.000 0.000 -2.041 3.534 0.000 0.000 0.000 7.172" Properties=species:S:1:pos:R:3 pbc="T T T"
Cd 0.000 0.000 0.000
Se 0.000 2.356 1.612
Se 2.041 1.178 5.560
Tl 0.000 0.000 3.586
```